{"formula": "KMg3V4O12", "functional": "GGA+U", "state": "relaxed", "lattice": [[-2.612, -6.417, 0.700], [2.574, 2.201, 6.084], [-4.957, 4.363, -2.209]], "species": ["O", "V", "Mg", "O", "Mg", "O", "O", "O", "O", "K", "O", "Mg", "O", "O", "O", "O", "O", "V", "V", "V"], "frac_coords": [[0.662, 0.783, 0.120], [0.500, 0.500, 0.500], [0.000, 0.565, 0.435], [0.652, 0.500, 0.348], [0.565, 0.435, 0.000], [0.783, 0.120, 0.662], [0.120, 0.662, 0.783], [0.500, 0.086, 0.914], [0.217, 0.338, 0.880], [0.000, 0.000, 0.000], [0.500, 0.348, 0.652], [0.435, 0.000, 0.565], [0.880, 0.217, 0.338], [0.914, 0.500, 0.086], [0.348, 0.652, 0.500], [0.086, 0.914, 0.500], [0.338, 0.880, 0.217], [0.933, 0.067, 0.500], [0.500, 0.933, 0.067], [0.067, 0.500, 0.933]], "dft_energy_ev_per_atom": -6.746, "density_g_cm3": 3.31}